Tc3CO PBE-GGA optimized geometry; ΔE_f (raw) = 0.864 eV/atom; N(E_F) = 5.3 states/eV/cell; space group = No. 221
1.0
4.021 0.000 0.000
0.000 4.021 0.000
0.000 0.000 4.021
O Tc C
1 3 1
Direct
0.500 0.500 0.500
0.500 0.000 0.000
0.000 0.000 0.500
0.000 0.500 0.000
0.000 0.000 0.000